CaPt2: relaxed, PBE.

Output
ΔH_f (0 K) in eV/atom: -0.897
SG: P6_3/mmc, No. 194

Lattice parameters (Å, degrees): 5.4446 5.4446 8.9612 90.00 90.00 120.00
Element x y z (fractional)
Ca (0.3333, 0.6667, 0.0653)
Ca (0.3333, 0.6667, 0.4347)
Ca (0.6667, 0.3333, 0.9347)
Ca (0.6667, 0.3333, 0.5653)
Pt (0.8311, 0.1689, 0.2500)
Pt (0.1689, 0.8311, 0.7500)
Pt (0.6622, 0.8311, 0.7500)
Pt (0.1689, 0.3378, 0.7500)
Pt (0.3378, 0.1689, 0.2500)
Pt (0.0000, 0.0000, 0.0000)
Pt (0.8311, 0.6622, 0.2500)
Pt (0.0000, 0.0000, 0.5000)

***

LiAcZnPd: relaxed, PBE.

Output
ΔH_f (0 K) in eV/atom: -0.303
Distance to the lowest polymorph of the same formula in eV per atom: 0.1552
SG: F-43m, No. 216

Lattice parameters (Å, degrees): 5.1172 5.1172 5.1172 60.00 60.00 60.00
Element x y z (fractional)
Zn (0.0000, 0.0000, 0.0000)
Pd (0.5000, 0.5000, 0.5000)
Ac (0.2500, 0.2500, 0.2500)
Li (0.7500, 0.7500, 0.7500)

***

AlCuNi4: relaxed, PBE.

Output
ΔH_f (0 K) in eV/atom: -0.165
Distance to the lowest polymorph of the same formula in eV per atom: 0.0667
SG: Cmcm, No. 63

Lattice parameters (Å, degrees): 7.4147 7.4147 7.4090 90.00 90.00 160.22
Site moments in Bohr magnetons follow the coordinates.
Element x y z (fractional)
Ni (0.0000, 0.0000, 0.0000)  0.31
Ni (0.4245, 0.5755, 0.2500)  0.30
Ni (0.1678, 0.8322, 0.5209)  0.05
Ni (0.8322, 0.1678, 0.4791)  0.05
Ni (0.0000, 0.0000, 0.5000)  0.31
Ni (0.8322, 0.1678, 0.0209)  0.05
Ni (0.1678, 0.8322, 0.9791)  0.05
Ni (0.5755, 0.4245, 0.7500)  0.30
Cu (0.5932, 0.4068, 0.2500)  -0.01
Cu (0.4068, 0.5932, 0.7500)  -0.01
Al (0.2524, 0.7476, 0.2500)  0.00
Al (0.7476, 0.2524, 0.7500)  0.00

***

Te2RuN2: relaxed, PBE.

Output
Distance to the lowest polymorph of the same formula in eV per atom: 0.7738
Formation energy from raw total energies in eV/atom: 1.75
SG: P4/mmm, No. 123

Lattice parameters (Å, degrees): 3.9166 3.9166 6.8470 90.00 90.00 90.00
Site moments in Bohr magnetons follow the coordinates.
Element x y z (fractional)
Te (0.0000, 0.0000, 0.5000)  0.04
Te (0.0000, 0.0000, 0.0000)  0.01
N (0.5000, 0.0000, 0.0000)  0.07
N (0.0000, 0.5000, 0.0000)  0.07
Ru (0.5000, 0.5000, 0.5000)  1.74